Material: ZrMo2Pt
Method: DFT, PBE
State: optimized geometry

CIF file:
```
data_ZrMo2Pt
_chemical_formula_sum 'Zr4 Mo8 Pt4'
_cell_length_a 7.578
_cell_length_b 7.578
_cell_length_c 5.243
_cell_angle_alpha 90.00
_cell_angle_beta 90.00
_cell_angle_gamma 90.00
_space_group_name_H-M_alt 'I -4 2 d'
_space_group_IT_number 122
_space_group_name_Hall 'I -4 2bw'
loop_
_atom_site_label
_atom_site_fract_x
_atom_site_fract_y
_atom_site_fract_z
Zr1 0.000 0.000 0.000
Mo1 0.224 0.250 0.625
Pt1 0.000 0.000 0.500
```

Energy of formation from the pure elements (eV/atom): 0.327
Total magnetization (μB/cell): 0.0
Volume (Å³ per cell): 301.12
DOS at the Fermi energy (states/eV/atom): 0.83

***

Material: SrZr2Fe
Method: DFT, PBE
State: optimized geometry

CIF file:
```
data_SrZr2Fe
_chemical_formula_sum 'Sr4 Zr8 Fe4'
_cell_length_a 6.964
_cell_length_b 6.964
_cell_length_c 6.964
_cell_angle_alpha 90.00
_cell_angle_beta 90.00
_cell_angle_gamma 90.00
_space_group_name_H-M_alt 'F m -3 m'
_space_group_IT_number 225
_space_group_name_Hall '-F 4 2 3'
loop_
_atom_site_label
_atom_site_fract_x
_atom_site_fract_y
_atom_site_fract_z
Sr1 0.000 0.000 0.000
Zr1 0.250 0.250 0.250
Fe1 0.000 0.000 0.500
```

Energy of formation from the pure elements (eV/atom): 0.729
Total magnetization (μB/cell): 0.0
Volume (Å³ per cell): 337.79
DOS at the Fermi energy (states/eV/atom): 1.21

***

Material: Fe3BiTe
Method: DFT, PBE
State: optimized geometry

CIF file:
```
data_Fe3BiTe
_chemical_formula_sum 'Fe3 Bi1 Te1'
_cell_length_a 4.761
_cell_length_b 4.761
_cell_length_c 4.761
_cell_angle_alpha 90.00
_cell_angle_beta 90.00
_cell_angle_gamma 90.00
_space_group_name_H-M_alt 'P m -3 m'
_space_group_IT_number 221
_space_group_name_Hall '-P 4 2 3'
loop_
_atom_site_label
_atom_site_fract_x
_atom_site_fract_y
_atom_site_fract_z
Fe1 0.000 0.000 0.500
Bi1 0.500 0.500 0.500
Te1 0.000 0.000 0.000
```

DFT total energy (eV/atom): -5.453
Total magnetization (μB/cell): 6.7
Volume (Å³ per cell): 107.91
DOS at the Fermi energy (states/eV/atom): 1.31

***

Material: RbAlS2
Method: DFT, PBE
State: optimized geometry

CIF file:
```
data_RbAlS2
_chemical_formula_sum 'Rb4 Al4 S8'
_cell_length_a 8.111
_cell_length_b 8.111
_cell_length_c 6.290
_cell_angle_alpha 90.00
_cell_angle_beta 90.00
_cell_angle_gamma 90.00
_space_group_name_H-M_alt 'I 4/m c m'
_space_group_IT_number 140
_space_group_name_Hall '-I 4 2c'
loop_
_atom_site_label
_atom_site_fract_x
_atom_site_fract_y
_atom_site_fract_z
Rb1 0.000 0.000 0.250
Al1 0.000 0.500 0.250
S1 0.147 0.353 0.000
```

DFT total energy (eV/atom): -4.470
Total magnetization (μB/cell): 0.0
Volume (Å³ per cell): 413.77
DOS at the Fermi energy (states/eV/atom): 0.00

***

Material: NbAlZnMo2
Method: DFT, PBE
State: optimized geometry

CIF file:
```
data_NbAlZnMo2
_chemical_formula_sum 'Nb1 Al1 Zn1 Mo2'
_cell_length_a 4.612
_cell_length_b 4.612
_cell_length_c 4.247
_cell_angle_alpha 90.00
_cell_angle_beta 90.00
_cell_angle_gamma 90.00
_space_group_name_H-M_alt 'P 4/m m m'
_space_group_IT_number 123
_space_group_name_Hall '-P 4 2'
loop_
_atom_site_label
_atom_site_fract_x
_atom_site_fract_y
_atom_site_fract_z
Nb1 0.000 0.000 0.000
Al1 0.500 0.500 0.500
Zn1 0.500 0.500 0.000
Mo1 0.000 0.500 0.500
```

Energy of formation from the pure elements (eV/atom): 1.129
Total magnetization (μB/cell): 0.0
Volume (Å³ per cell): 90.36
DOS at the Fermi energy (states/eV/atom): 0.71

***

Material: RbSc3Ni
Method: DFT, PBE
State: optimized geometry

CIF file:
```
data_RbSc3Ni
_chemical_formula_sum 'Rb1 Sc3 Ni1'
_cell_length_a 4.927
_cell_length_b 4.927
_cell_length_c 4.927
_cell_angle_alpha 90.00
_cell_angle_beta 90.00
_cell_angle_gamma 90.00
_space_group_name_H-M_alt 'P m -3 m'
_space_group_IT_number 221
_space_group_name_Hall '-P 4 2 3'
loop_
_atom_site_label
_atom_site_fract_x
_atom_site_fract_y
_atom_site_fract_z
Rb1 0.000 0.000 0.000
Sc1 0.000 0.000 0.500
Ni1 0.500 0.500 0.500
```

Energy of formation from the pure elements (eV/atom): 1.744
Total magnetization (μB/cell): 0.0
Volume (Å³ per cell): 119.60
DOS at the Fermi energy (states/eV/atom): 0.70

***

Material: SrIrPt2
Method: DFT, PBE
State: optimized geometry

CIF file:
```
data_SrIrPt2
_chemical_formula_sum 'Sr1 Ir1 Pt2'
_cell_length_a 3.007
_cell_length_b 3.007
_cell_length_c 8.232
_cell_angle_alpha 90.00
_cell_angle_beta 90.00
_cell_angle_gamma 90.00
_space_group_name_H-M_alt 'P 4/m m m'
_space_group_IT_number 123
_space_group_name_Hall '-P 4 2'
loop_
_atom_site_label
_atom_site_fract_x
_atom_site_fract_y
_atom_site_fract_z
Sr1 0.000 0.000 0.000
Ir1 0.000 0.000 0.500
Pt1 0.500 0.500 0.287
```

Energy of formation from the pure elements (eV/atom): 0.051
Total magnetization (μB/cell): 0.0
Volume (Å³ per cell): 74.45
DOS at the Fermi energy (states/eV/atom): 1.32

***

Material: ZrTl2Cu
Method: DFT, PBE
State: optimized geometry

CIF file:
```
data_ZrTl2Cu
_chemical_formula_sum 'Zr4 Tl8 Cu4'
_cell_length_a 7.071
_cell_length_b 7.071
_cell_length_c 7.071
_cell_angle_alpha 90.00
_cell_angle_beta 90.00
_cell_angle_gamma 90.00
_space_group_name_H-M_alt 'F -4 3 m'
_space_group_IT_number 216
_space_group_name_Hall 'F -4 2 3'
loop_
_atom_site_label
_atom_site_fract_x
_atom_site_fract_y
_atom_site_fract_z
Zr1 0.000 0.000 0.000
Tl1 0.000 0.000 0.500
Tl2 0.250 0.250 0.250
Cu1 0.250 0.250 0.750
```

Energy of formation from the pure elements (eV/atom): 0.389
Total magnetization (μB/cell): 0.0
Volume (Å³ per cell): 353.52
DOS at the Fermi energy (states/eV/atom): 1.07

***

Material: InWAu2
Method: DFT, PBE
State: optimized geometry

CIF file:
```
data_InWAu2
_chemical_formula_sum 'In2 W2 Au4'
_cell_length_a 4.456
_cell_length_b 2.867
_cell_length_c 11.466
_cell_angle_alpha 90.00
_cell_angle_beta 90.00
_cell_angle_gamma 90.00
_space_group_name_H-M_alt 'A m m 2'
_space_group_IT_number 38
loop_
_space_group_symop_operation_xyz
'x,y,z'
'-x,-y,z'
'-x,y,z'
'x,-y,z'
'x,y+1/2,z+1/2'
'-x,-y+1/2,z+1/2'
'-x,y+1/2,z+1/2'
'x,-y+1/2,z+1/2'
loop_
_atom_site_label
_atom_site_fract_x
_atom_site_fract_y
_atom_site_fract_z
In1 0.000 0.000 0.000
W1 0.500 0.000 0.612
Au1 0.000 0.000 0.242
Au2 0.500 0.000 0.856
```

Energy of formation from the pure elements (eV/atom): 0.402
Total magnetization (μB/cell): 0.0
Volume (Å³ per cell): 146.47
DOS at the Fermi energy (states/eV/atom): 0.55

***

Material: Tl2NiPbI
Method: DFT, PBE
State: optimized geometry

CIF file:
```
data_Tl2NiPbI
_chemical_formula_sum 'Tl2 Ni1 Pb1 I1'
_cell_length_a 5.318
_cell_length_b 5.318
_cell_length_c 5.202
_cell_angle_alpha 90.00
_cell_angle_beta 90.00
_cell_angle_gamma 90.00
_space_group_name_H-M_alt 'P 4/m m m'
_space_group_IT_number 123
_space_group_name_Hall '-P 4 2'
loop_
_atom_site_label
_atom_site_fract_x
_atom_site_fract_y
_atom_site_fract_z
Tl1 0.000 0.500 0.000
Ni1 0.000 0.000 0.000
Pb1 0.000 0.000 0.500
I1 0.500 0.500 0.500
```

DFT total energy (eV/atom): -3.270
Total magnetization (μB/cell): 0.0
Volume (Å³ per cell): 147.15
DOS at the Fermi energy (states/eV/atom): 0.28

***

Material: KReAu2
Method: DFT, PBE
State: optimized geometry

CIF file:
```
data_KReAu2
_chemical_formula_sum 'K1 Re1 Au2'
_cell_length_a 2.792
_cell_length_b 2.792
_cell_length_c 10.111
_cell_angle_alpha 90.00
_cell_angle_beta 90.00
_cell_angle_gamma 90.00
_space_group_name_H-M_alt 'P 4 m m'
_space_group_IT_number 99
loop_
_space_group_symop_operation_xyz
'x,y,z'
'-y,x,z'
'-x,-y,z'
'y,-x,z'
'-x,y,z'
'y,x,z'
'x,-y,z'
'-y,-x,z'
loop_
_atom_site_label
_atom_site_fract_x
_atom_site_fract_y
_atom_site_fract_z
K1 0.000 0.000 0.000
Re1 0.500 0.500 0.282
Au1 0.000 0.000 0.491
Au2 0.500 0.500 0.721
```

Energy of formation from the pure elements (eV/atom): 0.669
Total magnetization (μB/cell): 0.0
Volume (Å³ per cell): 78.84
DOS at the Fermi energy (states/eV/atom): 0.89

***

Material: LaRe2Sb
Method: DFT, PBE
State: optimized geometry

CIF file:
```
data_LaRe2Sb
_chemical_formula_sum 'La3 Re6 Sb3'
_cell_length_a 3.1381
_cell_length_b 3.1381
_cell_length_c 28.2489
_cell_angle_alpha 90.00
_cell_angle_beta 90.00
_cell_angle_gamma 120.00
_space_group_name_H-M_alt 'R -3 m'
_space_group_IT_number 166
_space_group_name_Hall '-R 3 2"'
loop_
_atom_site_label
_atom_site_fract_x
_atom_site_fract_y
_atom_site_fract_z
La1 0.0000 0.0000 0.0000
Re1 0.0000 0.0000 0.2391
Sb1 0.0000 0.0000 0.5000
```

DFT total energy (eV/atom): -7.620
Total magnetization (μB/cell): 0.0
Volume (Å³ per cell): 240.92
DOS at the Fermi energy (states/eV/atom): 1.25

***

Material: SrPmIn
Method: DFT, PBE
State: optimized geometry

CIF file:
```
data_SrPmIn
_chemical_formula_sum 'Sr2 Pm2 In2'
_cell_length_a 5.4116
_cell_length_b 5.4116
_cell_length_c 8.7022
_cell_angle_alpha 90.00
_cell_angle_beta 90.00
_cell_angle_gamma 120.00
_space_group_name_H-M_alt 'P -3 m 1'
_space_group_IT_number 164
_space_group_name_Hall '-P 3 2"'
loop_
_atom_site_label
_atom_site_fract_x
_atom_site_fract_y
_atom_site_fract_z
Sr1 0.3333 0.6667 0.1425
Pm1 0.3333 0.6667 0.5941
In1 0.0000 0.0000 0.3219
```

Energy of formation from the pure elements (eV/atom): -0.240
Total magnetization (μB/cell): 0.0
Volume (Å³ per cell): 220.71
DOS at the Fermi energy (states/eV/atom): 0.46

***

Material: SrCa2Sb
Method: DFT, PBE
State: optimized geometry

CIF file:
```
data_SrCa2Sb
_chemical_formula_sum 'Sr4 Ca8 Sb4'
_cell_length_a 8.226
_cell_length_b 8.226
_cell_length_c 8.226
_cell_angle_alpha 90.00
_cell_angle_beta 90.00
_cell_angle_gamma 90.00
_space_group_name_H-M_alt 'F -4 3 m'
_space_group_IT_number 216
_space_group_name_Hall 'F -4 2 3'
loop_
_atom_site_label
_atom_site_fract_x
_atom_site_fract_y
_atom_site_fract_z
Sr1 0.000 0.000 0.000
Ca1 0.000 0.000 0.500
Ca2 0.250 0.250 0.750
Sb1 0.250 0.250 0.250
```

DFT total energy (eV/atom): -2.753
Total magnetization (μB/cell): 0.0
Volume (Å³ per cell): 556.67
DOS at the Fermi energy (states/eV/atom): 0.98

***

Material: BeAlH2
Method: DFT, PBE
State: optimized geometry

CIF file:
```
data_BeAlH2
_chemical_formula_sum 'Be4 Al4 H8'
_cell_length_a 5.015
_cell_length_b 5.015
_cell_length_c 5.015
_cell_angle_alpha 90.00
_cell_angle_beta 90.00
_cell_angle_gamma 90.00
_space_group_name_H-M_alt 'F m -3 m'
_space_group_IT_number 225
_space_group_name_Hall '-F 4 2 3'
loop_
_atom_site_label
_atom_site_fract_x
_atom_site_fract_y
_atom_site_fract_z
Be1 0.000 0.000 0.000
Al1 0.000 0.000 0.500
H1 0.250 0.250 0.250
```

DFT total energy (eV/atom): -2.837
Total magnetization (μB/cell): 0.0
Volume (Å³ per cell): 126.12
DOS at the Fermi energy (states/eV/atom): 0.24

***

Material: Zr2Cu2Pb
Method: DFT, PBE
State: optimized geometry

CIF file:
```
data_Zr2Cu2Pb
_chemical_formula_sum 'Zr4 Cu4 Pb2'
_cell_length_a 4.395
_cell_length_b 4.395
_cell_length_c 10.810
_cell_angle_alpha 90.00
_cell_angle_beta 90.00
_cell_angle_gamma 90.00
_space_group_name_H-M_alt 'I 4/m m m'
_space_group_IT_number 139
_space_group_name_Hall '-I 4 2'
loop_
_atom_site_label
_atom_site_fract_x
_atom_site_fract_y
_atom_site_fract_z
Zr1 0.000 0.500 0.250
Cu1 0.000 0.000 0.105
Pb1 0.000 0.000 0.500
```

Energy of formation from the pure elements (eV/atom): 0.106
Total magnetization (μB/cell): 0.0
Volume (Å³ per cell): 208.80
DOS at the Fermi energy (states/eV/atom): 0.56

***

Material: Ac4HoPa3N8
Method: DFT, PBE
State: optimized geometry

CIF file:
```
data_Ac4HoPa3N8
_chemical_formula_sum 'Ac12 Ho3 Pa9 N24'
_cell_length_a 7.2344
_cell_length_b 7.2344
_cell_length_c 18.6281
_cell_angle_alpha 90.00
_cell_angle_beta 90.00
_cell_angle_gamma 120.00
_space_group_name_H-M_alt 'R -3 m'
_space_group_IT_number 166
_space_group_name_Hall '-R 3 2"'
loop_
_atom_site_label
_atom_site_fract_x
_atom_site_fract_y
_atom_site_fract_z
Ac1 0.0000 0.0000 0.0000
Ac2 0.0000 0.5000 0.0000
Ho1 0.0000 0.0000 0.5000
Pa1 0.0000 0.5000 0.5000
N1 0.0000 0.0000 0.2293
N2 0.0127 0.5064 0.7696
```

DFT total energy (eV/atom): -8.688
Total magnetization (μB/cell): 0.0
Volume (Å³ per cell): 844.30
DOS at the Fermi energy (states/eV/atom): 0.41

***

Material: LiHfBi3
Method: DFT, PBE
State: optimized geometry

CIF file:
```
data_LiHfBi3
_chemical_formula_sum 'Li1 Hf1 Bi3'
_cell_length_a 5.671
_cell_length_b 5.671
_cell_length_c 5.671
_cell_angle_alpha 90.00
_cell_angle_beta 90.00
_cell_angle_gamma 90.00
_space_group_name_H-M_alt 'P m -3 m'
_space_group_IT_number 221
_space_group_name_Hall '-P 4 2 3'
loop_
_atom_site_label
_atom_site_fract_x
_atom_site_fract_y
_atom_site_fract_z
Li1 0.000 0.000 0.000
Hf1 0.500 0.500 0.500
Bi1 0.000 0.500 0.500
```

Energy of formation from the pure elements (eV/atom): 0.175
Total magnetization (μB/cell): 0.0
Volume (Å³ per cell): 182.36
DOS at the Fermi energy (states/eV/atom): 0.77

***

Material: Co2BrCl
Method: DFT, PBE
State: optimized geometry

CIF file:
```
data_Co2BrCl
_chemical_formula_sum 'Co4 Br2 Cl2'
_cell_length_a 3.489
_cell_length_b 3.489
_cell_length_c 12.245
_cell_angle_alpha 90.00
_cell_angle_beta 90.00
_cell_angle_gamma 90.00
_space_group_name_H-M_alt 'I -4 m 2'
_space_group_IT_number 119
_space_group_name_Hall 'I -4 -2'
loop_
_atom_site_label
_atom_site_fract_x
_atom_site_fract_y
_atom_site_fract_z
Co1 0.000 0.000 0.000
Co2 0.000 0.500 0.250
Br1 0.000 0.500 0.750
Cl1 0.000 0.000 0.500
```

DFT total energy (eV/atom): -3.925
Total magnetization (μB/cell): 7.8
Volume (Å³ per cell): 149.05
DOS at the Fermi energy (states/eV/atom): 2.05

***

Material: La2MgNi2
Method: DFT, PBE
State: optimized geometry

CIF file:
```
data_La2MgNi2
_chemical_formula_sum 'La4 Mg2 Ni4'
_cell_length_a 3.555
_cell_length_b 3.555
_cell_length_c 19.387
_cell_angle_alpha 90.00
_cell_angle_beta 90.00
_cell_angle_gamma 90.00
_space_group_name_H-M_alt 'I 4/m m m'
_space_group_IT_number 139
_space_group_name_Hall '-I 4 2'
loop_
_atom_site_label
_atom_site_fract_x
_atom_site_fract_y
_atom_site_fract_z
La1 0.000 0.000 0.136
Mg1 0.000 0.000 0.500
Ni1 0.000 0.500 0.250
```

Energy of formation from the pure elements (eV/atom): -0.059
Total magnetization (μB/cell): 0.0
Volume (Å³ per cell): 245.05
DOS at the Fermi energy (states/eV/atom): 1.18